Below is a relaxed K3SnIrCl8 crystal, with properties calculated at the GGA-PBE level.

Unit cell a=9.6356 b=9.7730 c=8.1311 alpha=90.00 beta=90.00 gamma=90.00
With the nearest neighbours (Å) after each atom.
Space group Pmn2_1 (No. 31)
Unique sites:
K: 0.0000 0.1290 0.0000 (multiplicity 2)  8 Cl 3.22-3.55
K: 0.2445 0.6252 0.9427 (multiplicity 4)  7 Cl 3.15-3.42
Sn: 0.0000 0.9008 0.5158 (multiplicity 2)  3 Cl 2.42-2.45, 1 Ir 2.53
Ir: 0.0000 0.6870 0.3397 (multiplicity 2)  5 Cl 2.38-2.45, 1 Sn 2.53
Cl: 0.0000 0.1376 0.4175 (multiplicity 2)  1 Sn 2.45
Cl: 0.0000 0.4716 0.1847 (multiplicity 2)  1 Ir 2.45
Cl: 0.0000 0.5614 0.5929 (multiplicity 2)  1 Ir 2.40
Cl: 0.0000 0.8077 0.0860 (multiplicity 2)  1 Ir 2.38
Cl: 0.1877 0.9310 0.7102 (multiplicity 4)  1 Sn 2.42
Cl: 0.2479 0.6849 0.3360 (multiplicity 4)  1 Ir 2.39

---

Below is a relaxed K2SnIrCl crystal, with properties calculated at the GGA-PBE level.

Unit cell a=6.7736 b=6.7736 c=4.9001 alpha=90.00 beta=90.00 gamma=90.00
With the nearest neighbours (Å) after each atom.
Space group P4/mmm (No. 123)
Unique sites:
K: 0.0000 0.5000 0.0000 (multiplicity 2)  2 Sn 3.39
Sn: 0.0000 0.0000 0.0000 (multiplicity 1)  2 Ir 2.45
Ir: 0.0000 0.0000 0.5000 (multiplicity 1)  2 Sn 2.45
Cl: 0.5000 0.5000 0.5000 (multiplicity 1)  8 K 4.18

* DOS(E_F): 6.7 states/eV/cell

---

Below is a relaxed K2TlIrCl8 crystal, with properties calculated at the GGA-PBE level.

Unit cell a=6.3413 b=7.1609 c=8.0377 alpha=89.94 beta=89.93 gamma=86.85
With the nearest neighbours (Å) after each atom.
Space group P-1 (No. 2)
Unique sites:
K: 0.0007 0.0005 0.2357 (multiplicity 2)  4 Cl 3.05-3.07
Tl: 0.5000 0.5000 0.5000 (multiplicity 1)  6 Cl 2.57-2.82
Ir: 0.5000 0.5000 0.0000 (multiplicity 1)  6 Cl 2.36-2.37
Cl: 0.2784 0.3981 0.2133 (multiplicity 2)  1 Ir 2.36
Cl: 0.2786 0.3978 0.7873 (multiplicity 2)  1 Ir 2.36
Cl: 0.2882 0.8162 0.5000 (multiplicity 2)  1 Tl 2.57
Cl: 0.3172 0.7976 0.9997 (multiplicity 2)  1 Ir 2.37

* DOS(E_F): 0.1 states/eV/cell

---

Below is a relaxed KTl2IrCl6 crystal, with properties calculated at the GGA-PBE level.

Unit cell a=7.0873 b=10.6302 c=8.3631 alpha=90.00 beta=90.00 gamma=90.00
With the nearest neighbours (Å) after each atom.
Space group Pmmn (No. 59, origin choice 2)
Unique sites:
K: 0.2500 0.2500 0.1856 (multiplicity 2)  6 Cl 3.06-3.20
Tl: 0.2500 0.0460 0.6805 (multiplicity 4)  7 Cl 3.24-3.55
Ir: 0.2500 0.7500 0.3030 (multiplicity 2)  6 Cl 2.36-2.37
Cl: 0.0112 0.7500 0.1064 (multiplicity 4)  1 Ir 2.36
Cl: 0.0127 0.7500 0.5033 (multiplicity 4)  1 Ir 2.37
Cl: 0.2500 0.5274 0.3050 (multiplicity 4)  1 Ir 2.37

* DOS(E_F): 0.0 states/eV/cell

---

Number 1: formation energy (no corrections) -1.331 eV/atom. Number 2: formation energy (no corrections) 0.038 eV/atom. Number 3: formation energy (no corrections) -1.017 eV/atom. Number 4: formation energy (no corrections) -0.985 eV/atom.